Run a
{"formula": "Ge2As2Au", "functional": "PBE", "state": "optimized geometry", "lattice_angstrom": [[3.726, 0.000, 0.000], [0.000, 3.726, 0.000], [0.000, 0.000, 14.824]], "species": ["Ge", "Ge", "Ge", "Ge", "As", "As", "As", "As", "Au", "Au"], "fractional_positions": [[0.000, 0.000, 0.093], [0.000, 0.000, 0.907], [0.500, 0.500, 0.407], [0.500, 0.500, 0.593], [0.000, 0.500, 0.250], [0.000, 0.500, 0.750], [0.500, 0.000, 0.250], [0.500, 0.000, 0.750], [0.000, 0.000, 0.500], [0.500, 0.500, 0.000]], "crystal_system": "tetragonal", "total_magnetization_mub_per_fu": 0.000}



Run b
{"formula": "Ge2As2Au", "functional": "PBE", "state": "optimized geometry", "lattice_angstrom": [[9.638, -1.909, 0.000], [9.638, 1.909, 0.000], [-1.080, 0.000, 6.595]], "species": ["Ge", "Ge", "Ge", "Ge", "As", "As", "As", "As", "Au", "Au"], "fractional_positions": [[0.126, 0.126, 0.113], [0.373, 0.373, 0.385], [0.627, 0.627, 0.615], [0.874, 0.874, 0.887], [0.062, 0.062, 0.427], [0.434, 0.434, 0.080], [0.566, 0.566, 0.920], [0.938, 0.938, 0.573], [0.243, 0.243, 0.329], [0.757, 0.757, 0.671]], "crystal_system": "monoclinic", "total_magnetization_mub_per_fu": 0.000}



Relative energies, meV/atom: run a 248; run b 0.